{"formula": "ZrPa3N6", "functional": "GGA-PBE", "state": "relaxed", "e_form_raw_ev_per_atom": -1.389, "e_tot_ev_per_atom": -10.087, "lattice_angstrom": [[3.628, 0.000, 0.000], [0.000, 6.722, -0.067], [0.000, -2.177, 6.360]], "species": ["N", "N", "N", "N", "N", "N", "Pa", "Pa", "Pa", "Zr"], "frac_coords": [[0.000, 0.337, 0.080], [0.500, 0.365, 0.635], [0.000, 0.080, 0.337], [0.000, 0.920, 0.663], [0.000, 0.663, 0.920], [0.500, 0.635, 0.365], [0.500, 0.500, 0.000], [0.500, 0.000, 0.500], [0.000, 0.000, 0.000], [0.000, 0.500, 0.500]]}